CuGeRhO6 | PBE | relaxed

The structure belongs to space group P-31c (No. 163); the cell edges are 5.0205, 5.0205 and 8.5758 Å and the angles 90.00°, 90.00° and 120.00°. Symmetry generates all atoms from Cu at (0.0000, 0.0000, 0.0000), Ge at (0.3333, 0.6667, 0.2500), Rh at (0.3333, 0.6667, 0.7500) and O at (0.0075, 0.3551, 0.1279).

The density comes out at 5.94 g/cm³. The calculation puts the uncorrected formation energy at -0.754 eV/atom.